Record 1
This record from OQMD describes a relaxed BaAgHg crystal. The functional is PBE-GGA.

Output
Total DFT energy (no corrections), eV/atom: -1.94

Cell lengths 5.295, 5.295, 5.295 Å; angles 60.00, 60.00, 60.00 degrees
Element x y z (fractional)
Ba  0.000  0.000  0.000
Ag  0.250  0.250  0.250
Hg  0.500  0.500  0.500

***

Record 2
This record from OQMD describes a relaxed BaAgHg2 crystal. The functional is PBE-GGA.

Output
Total DFT energy (no corrections), eV/atom: -1.60

Cell lengths 5.467, 5.467, 5.467 Å; angles 60.00, 60.00, 60.00 degrees
Element x y z (fractional)
Ba  0.000  0.000  0.000
Ag  0.250  0.250  0.250
Hg  0.500  0.500  0.500
Hg  0.750  0.750  0.750

***

Record 3
This record from OQMD describes a relaxed BaAg2Hg2 crystal. The functional is PBE-GGA.

Output
Total DFT energy (no corrections), eV/atom: -1.88

Cell lengths 7.113, 7.113, 7.113 Å; angles 141.91, 141.91, 54.97 degrees
Element x y z (fractional)
Ba  0.000  0.000  0.000
Ag  0.250  0.750  0.500
Ag  0.750  0.250  0.500
Hg  0.382  0.382  0.000
Hg  0.618  0.618  0.000

***

Record 4
This record from OQMD describes a relaxed BaHoAgO3 crystal. The functional is PBE-GGA.

Output
Total DFT energy (no corrections), eV/atom: -6.29

Cell lengths 6.774, 6.774, 8.858 Å; angles 90.00, 90.00, 148.83 degrees
Element x y z (fractional)
Ba  0.188  0.812  0.750
Ba  0.812  0.188  0.250
Ho  0.500  0.500  0.000
Ho  0.500  0.500  0.500
Ag  0.104  0.896  0.250
Ag  0.896  0.104  0.750
O  0.111  0.889  0.017
O  0.111  0.889  0.483
O  0.451  0.549  0.250
O  0.549  0.451  0.750
O  0.889  0.111  0.517
O  0.889  0.111  0.983

***

Record 5
This record from OQMD describes a relaxed Ba3Ho2Ag2PtO10 crystal. The functional is PBE-GGA.

Output
Total DFT energy (no corrections), eV/atom: -6.24

Cell lengths 7.048, 7.048, 7.544 Å; angles 106.48, 106.48, 49.16 degrees
Element x y z (fractional)
Ba  0.000  0.000  0.000
Ba  0.155  0.155  0.546
Ba  0.845  0.845  0.454
Ho  0.311  0.311  0.127
Ho  0.689  0.689  0.873
Ag  0.418  0.418  0.809
Ag  0.582  0.582  0.191
Pt  0.500  0.500  0.500
O  0.075  0.552  0.884
O  0.239  0.705  0.289
O  0.295  0.761  0.711
O  0.334  0.334  0.449
O  0.448  0.925  0.116
O  0.552  0.075  0.884
O  0.666  0.666  0.551
O  0.705  0.239  0.289
O  0.761  0.295  0.711
O  0.925  0.448  0.116

***

Record 6
This record from OQMD describes a relaxed BaHoAgSeS2 crystal. The functional is PBE-GGA.

Output
Total DFT energy (no corrections), eV/atom: -5.09

Cell lengths 7.360, 7.360, 10.625 Å; angles 90.00, 90.00, 147.23 degrees
Element x y z (fractional)
Ba  0.240  0.760  0.750
Ba  0.760  0.240  0.250
Ho  0.000  0.000  0.000
Ho  0.000  0.000  0.500
Ag  0.470  0.530  0.250
Ag  0.530  0.470  0.750
Se  0.085  0.915  0.250
Se  0.915  0.085  0.750
S  0.372  0.628  0.053
S  0.372  0.628  0.447
S  0.628  0.372  0.553
S  0.628  0.372  0.947

***

Record 7
This record from OQMD describes a relaxed BaHoAgSe2S crystal. The functional is PBE-GGA.

Output
Total DFT energy (no corrections), eV/atom: -4.99

Cell lengths 7.389, 7.389, 10.516 Å; angles 90.00, 90.00, 146.65 degrees
Element x y z (fractional)
Ba  0.241  0.759  0.750
Ba  0.759  0.241  0.250
Ho  0.500  0.500  0.000
Ho  0.500  0.500  0.500
Ag  0.029  0.971  0.250
Ag  0.971  0.029  0.750
Se  0.138  0.862  0.048
Se  0.138  0.862  0.452
Se  0.862  0.138  0.548
Se  0.862  0.138  0.952
S  0.427  0.573  0.250
S  0.573  0.427  0.750

***

Record 8
This record from OQMD describes a relaxed BaHoAgSe3 crystal. The functional is PBE-GGA.

Output
Total DFT energy (no corrections), eV/atom: -4.84

Cell lengths 8.247, 4.226, 10.093 Å; angles 90.00, 107.66, 90.00 degrees
Element x y z (fractional)
Ba  0.245  0.250  0.284
Ba  0.755  0.750  0.716
Ho  0.310  0.750  0.845
Ho  0.690  0.250  0.155
Ag  0.088  0.250  0.596
Ag  0.912  0.750  0.404
Se  0.077  0.250  0.856
Se  0.274  0.750  0.550
Se  0.445  0.750  0.140
Se  0.555  0.250  0.860
Se  0.726  0.250  0.450
Se  0.923  0.750  0.144

***

Record 9
This record from OQMD describes a relaxed BaInAg crystal. The functional is PBE-GGA.

Output
Total DFT energy (no corrections), eV/atom: -2.27

Cell lengths 5.489, 5.489, 5.489 Å; angles 60.00, 60.00, 60.00 degrees
Element x y z (fractional)
Ba  0.000  0.000  0.000
In  0.250  0.250  0.250
Ag  0.750  0.750  0.750

***

Record 10
This record from OQMD describes a relaxed BaIn6Ag6 crystal. The functional is PBE-GGA.

Output
Total DFT energy (no corrections), eV/atom: -2.89

Cell lengths 7.664, 7.664, 7.664 Å; angles 135.30, 98.70, 97.93 degrees
Element x y z (fractional)
Ba  0.000  0.000  0.000
In  0.202  0.702  0.500
In  0.349  0.000  0.349
In  0.352  0.352  0.000
In  0.648  0.648  0.000
In  0.651  0.000  0.651
In  0.798  0.298  0.500
Ag  0.000  0.000  0.500
Ag  0.000  0.500  0.000
Ag  0.229  0.500  0.729
Ag  0.500  0.000  0.000
Ag  0.500  0.500  0.500
Ag  0.771  0.500  0.271

***

Record 11
This record from OQMD describes a relaxed Ba4InAgS6 crystal. The functional is PBE-GGA.

Output
Total DFT energy (no corrections), eV/atom: -4.72

Cell lengths 8.805, 8.990, 17.971 Å; angles 90.00, 104.10, 90.00 degrees
Element x y z (fractional)
Ba  0.098  0.241  0.459
Ba  0.098  0.259  0.959
Ba  0.218  0.081  0.715
Ba  0.218  0.419  0.215
Ba  0.254  0.578  0.785
Ba  0.254  0.922  0.285
Ba  0.388  0.736  0.039
Ba  0.388  0.764  0.539
Ba  0.612  0.236  0.461
Ba  0.612  0.264  0.961
Ba  0.746  0.078  0.715
Ba  0.746  0.422  0.215
Ba  0.782  0.581  0.785
Ba  0.782  0.919  0.285
Ba  0.902  0.741  0.041
Ba  0.902  0.759  0.541
In  0.443  0.119  0.132
In  0.443  0.381  0.632
In  0.557  0.619  0.368
In  0.557  0.881  0.868
Ag  0.061  0.629  0.366
Ag  0.061  0.871  0.866
Ag  0.939  0.129  0.134
Ag  0.939  0.371  0.634
S  0.013  0.188  0.280
S  0.013  0.312  0.780
S  0.092  0.614  0.930
S  0.092  0.886  0.430
S  0.184  0.509  0.598
S  0.184  0.991  0.098
S  0.336  0.013  0.903
S  0.336  0.487  0.403
S  0.413  0.128  0.574
S  0.413  0.372  0.074
S  0.488  0.679  0.228
S  0.488  0.821  0.728
S  0.512  0.179  0.272
S  0.512  0.321  0.772
S  0.587  0.628  0.926
S  0.587  0.872  0.426
S  0.664  0.513  0.597
S  0.664  0.987  0.097
S  0.816  0.009  0.902
S  0.816  0.491  0.402
S  0.908  0.114  0.570
S  0.908  0.386  0.070
S  0.987  0.688  0.220
S  0.987  0.812  0.720

***

Record 12
This record from OQMD describes a relaxed Ba2InAgS4 crystal. The functional is PBE-GGA.

Output
Total DFT energy (no corrections), eV/atom: -4.52

Cell lengths 8.454, 7.367, 14.784 Å; angles 90.00, 106.71, 90.00 degrees
Element x y z (fractional)
Ba  0.055  0.157  0.358
Ba  0.055  0.343  0.858
Ba  0.445  0.657  0.137
Ba  0.445  0.843  0.637
Ba  0.555  0.157  0.363
Ba  0.555  0.343  0.863
Ba  0.945  0.657  0.142
Ba  0.945  0.843  0.642
In  0.188  0.182  0.123
In  0.188  0.318  0.623
In  0.812  0.682  0.377
In  0.812  0.818  0.877
Ag  0.322  0.638  0.398
Ag  0.322  0.862  0.898
Ag  0.678  0.138  0.102
Ag  0.678  0.362  0.602
S  0.102  0.741  0.968
S  0.102  0.759  0.468
S  0.244  0.575  0.733
S  0.244  0.925  0.233
S  0.256  0.076  0.755
S  0.256  0.424  0.255
S  0.384  0.246  0.529
S  0.384  0.254  0.029
S  0.616  0.746  0.971
S  0.616  0.754  0.471
S  0.744  0.576  0.745
S  0.744  0.924  0.245
S  0.756  0.075  0.767
S  0.756  0.425  0.267
S  0.898  0.241  0.532
S  0.898  0.259  0.032

***

Record 13
This record from OQMD describes a relaxed BaInAgS3 crystal. The functional is PBE-GGA.

Output
Total DFT energy (no corrections), eV/atom: -4.23

Cell lengths 8.121, 4.159, 9.122 Å; angles 90.00, 106.09, 90.00 degrees
Element x y z (fractional)
Ba  0.216  0.250  0.257
Ba  0.784  0.750  0.743
In  0.323  0.750  0.854
In  0.677  0.250  0.146
Ag  0.085  0.250  0.591
Ag  0.915  0.750  0.409
S  0.107  0.250  0.875
S  0.263  0.750  0.552
S  0.450  0.750  0.145
S  0.550  0.250  0.855
S  0.737  0.250  0.448
S  0.893  0.750  0.125

***

Record 14
This record from OQMD describes a relaxed BaInAgTe3 crystal. The functional is PBE-GGA.

Output
Total DFT energy (no corrections), eV/atom: -3.53

Cell lengths 9.105, 4.584, 9.889 Å; angles 90.00, 104.09, 90.00 degrees
Element x y z (fractional)
Ba  0.198  0.250  0.261
Ba  0.802  0.750  0.739
In  0.321  0.750  0.859
In  0.679  0.250  0.141
Ag  0.066  0.250  0.581
Ag  0.934  0.750  0.419
Te  0.104  0.250  0.877
Te  0.254  0.750  0.549
Te  0.446  0.750  0.157
Te  0.554  0.250  0.843
Te  0.746  0.250  0.451
Te  0.896  0.750  0.123

***

Record 15
This record from OQMD describes a relaxed Ba3InAg3Te6 crystal. The functional is PBE-GGA.

Output
Total DFT energy (no corrections), eV/atom: -3.70

Cell lengths 14.277, 14.277, 13.508 Å; angles 90.00, 90.00, 161.40 degrees
Element x y z (fractional)
Ba  0.079  0.921  0.500
Ba  0.100  0.900  0.109
Ba  0.203  0.797  0.787
Ba  0.797  0.203  0.287
Ba  0.900  0.100  0.609
Ba  0.921  0.079  0.000
In  0.477  0.523  0.339
In  0.523  0.477  0.839
Ag  0.217  0.783  0.493
Ag  0.229  0.771  0.066
Ag  0.326  0.674  0.881
Ag  0.674  0.326  0.381
Ag  0.771  0.229  0.566
Ag  0.783  0.217  0.993
Te  0.074  0.926  0.771
Te  0.201  0.799  0.275
Te  0.320  0.680  0.486
Te  0.333  0.667  0.093
Te  0.424  0.576  0.799
Te  0.487  0.513  0.545
Te  0.513  0.487  0.045
Te  0.576  0.424  0.299
Te  0.667  0.333  0.593
Te  0.680  0.320  0.986
Te  0.799  0.201  0.775
Te  0.926  0.074  0.271

***

Record 16
This record from OQMD describes a relaxed Ba4Ag3Ir crystal. The functional is PBE-GGA.

Output
Total DFT energy (no corrections), eV/atom: -3.33

Cell lengths 6.529, 4.798, 8.658 Å; angles 90.00, 90.20, 90.00 degrees
Element x y z (fractional)
Ba  0.000  0.000  0.000
Ba  0.223  0.000  0.457
Ba  0.476  0.500  0.855
Ba  0.731  0.500  0.331
Ag  0.479  0.000  0.129
Ag  0.736  0.000  0.630
Ag  0.972  0.500  0.697
Ir  0.233  0.500  0.194

***

Record 17
This record from OQMD describes a relaxed BaAg2Ir crystal. The functional is PBE-GGA.

Output
Total DFT energy (no corrections), eV/atom: -3.67

Cell lengths 5.044, 5.044, 5.044 Å; angles 60.00, 60.00, 60.00 degrees
Element x y z (fractional)
Ba  0.000  0.000  0.000
Ag  0.500  0.500  0.500
Ag  0.750  0.750  0.750
Ir  0.250  0.250  0.250

***

Record 18
This record from OQMD describes a relaxed BaAgIr crystal. The functional is PBE-GGA.

Output
ΔE to the lowest computed polymorph, meV/atom: 636

Cell lengths 5.010, 5.010, 5.010 Å; angles 60.00, 60.00, 60.00 degrees
Element x y z (fractional)
Ba  0.000  0.000  0.000
Ag  0.750  0.750  0.750
Ir  0.250  0.250  0.250

***

Record 19
This record from OQMD describes a relaxed BaAgIr crystal. The functional is PBE-GGA.

Output
ΔE to the lowest computed polymorph, meV/atom: 0

Cell lengths 4.896, 4.896, 4.896 Å; angles 60.00, 60.00, 60.00 degrees
Element x y z (fractional)
Ba  0.000  0.000  0.000
Ag  0.500  0.500  0.500
Ir  0.750  0.750  0.750

***

Record 20
This record from OQMD describes a relaxed Ba2AgIrN crystal. The functional is PBE-GGA.

Output
Total DFT energy (no corrections), eV/atom: -5.23

Cell lengths 5.853, 5.853, 3.801 Å; angles 90.00, 90.00, 90.00 degrees
Element x y z (fractional)
Ba  0.000  0.500  0.000
Ba  0.500  0.000  0.000
Ag  0.000  0.000  0.500
Ir  0.500  0.500  0.500
N  0.500  0.500  0.000